# ZrCuPdPb, optimized geometry, DFT GGA-PBE
# **Energy relative to the lowest polymorph listed for this composition**: 0.00 kcal/mol of atoms
# **V**: 18.45 A^3/atom
data_ZrCuPdPb
_chemical_formula_sum 'Zr4 Cu4 Pd4 Pb4'
_symmetry_space_group_name_H-M 'F -4 3 m'
_symmetry_Int_Tables_number 216
_symmetry_space_group_name_Hall 'F -4 2 3'
_cell_length_a 6.6586
_cell_length_b 6.6586
_cell_length_c 6.6586
_cell_angle_alpha 90.00
_cell_angle_beta 90.00
_cell_angle_gamma 90.00
loop_
_atom_site_label
_atom_site_type_symbol
_atom_site_fract_x
_atom_site_fract_y
_atom_site_fract_z
Zr1 Zr 0.0000 0.0000 0.0000
Cu1 Cu 0.2500 0.2500 0.7500
Pd1 Pd 0.2500 0.2500 0.2500
Pb1 Pb 0.0000 0.0000 0.5000

=====

# Pr5CuPb3, optimized geometry, DFT GGA-PBE
# **E**: -86.344 eV per cell
# **V**: 30.89 A^3/atom
data_Pr5CuPb3
_chemical_formula_sum 'Pr10 Cu2 Pb6'
_symmetry_space_group_name_H-M 'P 63/m c m'
_symmetry_Int_Tables_number 193
_symmetry_space_group_name_Hall '-P 6c 2'
_cell_length_a 9.6587
_cell_length_b 9.6587
_cell_length_c 6.8826
_cell_angle_alpha 90.00
_cell_angle_beta 90.00
_cell_angle_gamma 120.00
loop_
_atom_site_label
_atom_site_type_symbol
_atom_site_fract_x
_atom_site_fract_y
_atom_site_fract_z
Pr1 Pr 0.0000 0.2597 0.2500
Pr2 Pr 0.3333 0.6667 0.0000
Cu1 Cu 0.0000 0.0000 0.0000
Pb1 Pb 0.0000 0.3833 0.7500

=====

# PrCuPb, optimized geometry, DFT GGA-PBE
# **E**: -26.676 eV per cell
# **V**: 25.23 A^3/atom
data_PrCuPb
_chemical_formula_sum 'Pr2 Cu2 Pb2'
_symmetry_space_group_name_H-M 'P 63/m m c'
_symmetry_Int_Tables_number 194
_symmetry_space_group_name_Hall '-P 6c 2c'
_cell_length_a 4.6769
_cell_length_b 4.6769
_cell_length_c 7.9919
_cell_angle_alpha 90.00
_cell_angle_beta 90.00
_cell_angle_gamma 120.00
loop_
_atom_site_label
_atom_site_type_symbol
_atom_site_fract_x
_atom_site_fract_y
_atom_site_fract_z
Pr1 Pr 0.0000 0.0000 0.0000
Cu1 Cu 0.3333 0.6667 0.2500
Pb1 Pb 0.3333 0.6667 0.7500

=====

# PrCuPb, optimized geometry, DFT GGA-PBE
# **E**: -53.310 eV per cell
# **V**: 24.43 A^3/atom
data_PrCuPb
_chemical_formula_sum 'Pr4 Cu4 Pb4'
_symmetry_space_group_name_H-M 'P n m a'
_symmetry_Int_Tables_number 62
_cell_length_a 7.7437
_cell_length_b 4.7413
_cell_length_c 7.9841
_cell_angle_alpha 90.00
_cell_angle_beta 90.00
_cell_angle_gamma 90.00
loop_
_symmetry_equiv_pos_as_xyz
'x,y,z'
'-x,-y,-z'
'-x+1/2,-y,z+1/2'
'x+1/2,y,-z+1/2'
'x+1/2,-y+1/2,-z+1/2'
'-x+1/2,y+1/2,z+1/2'
'-x,y+1/2,-z'
'x,-y+1/2,z'
loop_
_atom_site_label
_atom_site_type_symbol
_atom_site_fract_x
_atom_site_fract_y
_atom_site_fract_z
Pr1 Pr 0.0139 0.2500 0.2180
Cu1 Cu 0.1670 0.7500 0.4294
Pb1 Pb 0.2164 0.2500 0.5962

=====

# PrCuPb, optimized geometry, DFT GGA-PBE
# **E**: -24.812 eV per cell
# **V**: 25.96 A^3/atom
data_PrCuPb
_chemical_formula_sum 'Pr2 Cu2 Pb2'
_symmetry_space_group_name_H-M 'P 63/m m c'
_symmetry_Int_Tables_number 194
_symmetry_space_group_name_Hall '-P 6c 2c'
_cell_length_a 5.2953
_cell_length_b 5.2953
_cell_length_c 6.4149
_cell_angle_alpha 90.00
_cell_angle_beta 90.00
_cell_angle_gamma 120.00
loop_
_atom_site_label
_atom_site_type_symbol
_atom_site_fract_x
_atom_site_fract_y
_atom_site_fract_z
Pr1 Pr 0.3333 0.6667 0.2500
Cu1 Cu 0.0000 0.0000 0.0000
Pb1 Pb 0.3333 0.6667 0.7500

=====

# PrCuPbS3, optimized geometry, DFT GGA-PBE
# **E**: -122.166 eV per cell
# **V**: 24.06 A^3/atom
data_PrCuPbS3
_chemical_formula_sum 'Pr4 Cu4 Pb4 S12'
_symmetry_space_group_name_H-M 'C 1 2/m 1'
_symmetry_Int_Tables_number 12
_cell_length_a 18.4100
_cell_length_b 4.0329
_cell_length_c 8.0293
_cell_angle_alpha 90.00
_cell_angle_beta 104.42
_cell_angle_gamma 90.00
loop_
_symmetry_equiv_pos_as_xyz
'x,y,z'
'-x,-y,-z'
'-x,y,-z'
'x,-y,z'
'x+1/2,y+1/2,z'
'-x+1/2,-y+1/2,-z'
'-x+1/2,y+1/2,-z'
'x+1/2,-y+1/2,z'
loop_
_atom_site_label
_atom_site_type_symbol
_atom_site_fract_x
_atom_site_fract_y
_atom_site_fract_z
Pr1 Pr 0.1612 0.0000 0.0798
Cu1 Cu 0.0362 0.5000 0.1943
Pb1 Pb 0.1188 0.0000 0.5618
S1 S 0.0000 0.0000 0.0000
S2 S 0.0000 0.5000 0.5000
S3 S 0.1635 0.5000 0.3240
S4 S 0.1774 0.5000 0.8421

=====

# PrCuTePbS2, optimized geometry, DFT GGA-PBE
# **E**: -117.157 eV per cell
# **V**: 27.14 A^3/atom
data_PrCuTePbS2
_chemical_formula_sum 'Pr4 Cu4 Te4 Pb4 S8'
_symmetry_space_group_name_H-M 'C m c m'
_symmetry_Int_Tables_number 63
_symmetry_space_group_name_Hall '-C 2c 2'
_cell_length_a 4.1031
_cell_length_b 14.0139
_cell_length_c 11.3283
_cell_angle_alpha 90.00
_cell_angle_beta 90.00
_cell_angle_gamma 90.00
loop_
_atom_site_label
_atom_site_type_symbol
_atom_site_fract_x
_atom_site_fract_y
_atom_site_fract_z
Pr1 Pr 0.0000 0.0000 0.0000
Cu1 Cu 0.0000 0.4786 0.2500
Te1 Te 0.0000 0.1036 0.2500
Pb1 Pb 0.0000 0.2112 0.7500
S1 S 0.0000 0.3767 0.0864

=====

# Pr2CuSb4Pb, optimized geometry, DFT GGA-PBE
# **E**: -37.499 eV per cell
# **V**: 27.98 A^3/atom
data_Pr2CuSb4Pb
_chemical_formula_sum 'Pr2 Cu1 Sb4 Pb1'
_symmetry_space_group_name_H-M 'P -4 m 2'
_symmetry_Int_Tables_number 115
_cell_length_a 4.4422
_cell_length_b 4.4422
_cell_length_c 11.3421
_cell_angle_alpha 90.00
_cell_angle_beta 90.00
_cell_angle_gamma 90.00
loop_
_symmetry_equiv_pos_as_xyz
'x,y,z'
'y,-x,-z'
'-x,-y,z'
'-y,x,-z'
'-x,y,z'
'-y,-x,-z'
'x,-y,z'
'y,x,-z'
loop_
_atom_site_label
_atom_site_type_symbol
_atom_site_fract_x
_atom_site_fract_y
_atom_site_fract_z
Pr1 Pr 0.0000 0.5000 0.2211
Cu1 Cu 0.5000 0.5000 0.5000
Sb1 Sb 0.0000 0.0000 0.0000
Sb2 Sb 0.0000 0.5000 0.6983
Sb3 Sb 0.5000 0.5000 0.0000
Pb1 Pb 0.0000 0.0000 0.5000

=====

# PrCuTePbSe2, optimized geometry, DFT GGA-PBE
# **E**: -111.005 eV per cell
# **V**: 28.40 A^3/atom
data_PrCuTePbSe2
_chemical_formula_sum 'Pr4 Cu4 Te4 Pb4 Se8'
_symmetry_space_group_name_H-M 'C m c m'
_symmetry_Int_Tables_number 63
_symmetry_space_group_name_Hall '-C 2c 2'
_cell_length_a 4.1971
_cell_length_b 14.0948
_cell_length_c 11.5207
_cell_angle_alpha 90.00
_cell_angle_beta 90.00
_cell_angle_gamma 90.00
loop_
_atom_site_label
_atom_site_type_symbol
_atom_site_fract_x
_atom_site_fract_y
_atom_site_fract_z
Pr1 Pr 0.0000 0.0000 0.0000
Cu1 Cu 0.0000 0.4711 0.2500
Te1 Te 0.0000 0.0929 0.2500
Pb1 Pb 0.0000 0.2206 0.7500
Se1 Se 0.0000 0.3639 0.0785

=====

# PrSm2Cu4Pb4, optimized geometry, DFT GGA-PBE
# **E**: -94.454 eV per cell
# **V**: 23.15 A^3/atom
data_PrSm2Cu4Pb4
_chemical_formula_sum 'Pr2 Sm4 Cu8 Pb8'
_symmetry_space_group_name_H-M 'I m m m'
_symmetry_Int_Tables_number 71
_symmetry_space_group_name_Hall '-I 2 2'
_cell_length_a 4.6568
_cell_length_b 7.1706
_cell_length_c 15.2536
_cell_angle_alpha 90.00
_cell_angle_beta 90.00
_cell_angle_gamma 90.00
loop_
_atom_site_label
_atom_site_type_symbol
_atom_site_fract_x
_atom_site_fract_y
_atom_site_fract_z
Pr1 Pr 0.0000 0.0000 0.0000
Sm1 Sm 0.0000 0.5000 0.1326
Cu1 Cu 0.0000 0.3169 0.3309
Pb1 Pb 0.0000 0.0000 0.2182
Pb2 Pb 0.0000 0.2037 0.5000

=====

# CuPt3Pb5, optimized geometry, DFT GGA-PBE
# **E**: -39.567 eV per cell
# **V**: 25.69 A^3/atom
data_CuPt3Pb5
_chemical_formula_sum 'Cu1 Pt3 Pb5'
_symmetry_space_group_name_H-M 'P 6/m m m'
_symmetry_Int_Tables_number 191
_symmetry_space_group_name_Hall '-P 6 2'
_cell_length_a 5.6404
_cell_length_b 5.6404
_cell_length_c 8.3925
_cell_angle_alpha 90.00
_cell_angle_beta 90.00
_cell_angle_gamma 120.00
loop_
_atom_site_label
_atom_site_type_symbol
_atom_site_fract_x
_atom_site_fract_y
_atom_site_fract_z
Cu1 Cu 0.0000 0.0000 0.0000
Pt1 Pt 0.0000 0.5000 0.5000
Pb1 Pb 0.0000 0.0000 0.5000
Pb2 Pb 0.3333 0.6667 0.1964

=====

# TaCuPtPb, optimized geometry, DFT GGA-PBE
# **Energy relative to the lowest polymorph listed for this composition**: 0.00 kcal/mol of atoms
# **V**: 17.85 A^3/atom
data_TaCuPtPb
_chemical_formula_sum 'Ta4 Cu4 Pt4 Pb4'
_symmetry_space_group_name_H-M 'F -4 3 m'
_symmetry_Int_Tables_number 216
_symmetry_space_group_name_Hall 'F -4 2 3'
_cell_length_a 6.5854
_cell_length_b 6.5854
_cell_length_c 6.5854
_cell_angle_alpha 90.00
_cell_angle_beta 90.00
_cell_angle_gamma 90.00
loop_
_atom_site_label
_atom_site_type_symbol
_atom_site_fract_x
_atom_site_fract_y
_atom_site_fract_z
Ta1 Ta 0.0000 0.0000 0.0000
Cu1 Cu 0.0000 0.0000 0.5000
Pt1 Pt 0.2500 0.2500 0.7500
Pb1 Pb 0.2500 0.2500 0.2500